Computed, not measured: a geometry-optimized La2Tm structure at the PBE level of DFT.

abc: 6.6941 6.6941 6.6941
angles: 60.00 60.00 60.00
Sites, in units of the cell vectors:
La 0.6250 0.6250 0.6250
La 0.6250 0.6250 0.1250
La 0.1250 0.6250 0.6250
La 0.6250 0.1250 0.6250
Tm 0.2500 0.2500 0.2500
Tm 0.0000 0.0000 0.0000

Values from the calculation:
As for the space group: Fd-3m, No. 227. The calculation puts the energy relative to the elements at 255 meV/atom. For the magnetization, the calculation gives 0.07 μB per cell.